(1)
ZnCrF6 | Alexandria | GGA-PBEsol | relaxed; magnetic moment = 2.0 μB/cell; density of states at the Fermi level = 9.61 states/eV per cell; SG = R-3 (148); total DFT energy (no corrections) = -42.453 eV per formula unit; theoretical density = 4.02 g cm⁻³
1.0
2.491 1.438 4.444
-2.491 1.438 4.444
0.000 -2.876 4.444
Zn Cr F
1 1 6
Cartesian
0.000 0.000 0.000
0.000 0.000 6.666
-1.487 0.133 5.609
-0.858 -1.221 7.723
0.629 -1.354 5.609
-0.629 1.354 7.723
0.858 1.221 5.609
1.487 -0.133 7.723


(2)
ZnCr2F12 | Alexandria | GGA-PBEsol | relaxed; magnetic moment = 2.0 μB/cell; density of states at the Fermi level = 14.18 states/eV per cell; SG = P-1 (2); total DFT energy (no corrections) = -78.727 eV per formula unit; theoretical density = 3.55 g cm⁻³
1.0
4.903 0.000 0.000
2.416 4.628 0.000
0.055 2.635 8.202
Zn Cr F
1 2 12
Cartesian
0.000 0.000 0.000
2.550 4.308 6.074
4.824 2.955 2.128
1.876 5.676 7.113
0.788 2.374 3.488
1.068 3.355 6.603
3.945 5.263 5.781
4.042 3.593 0.575
4.214 4.325 2.968
3.160 2.938 5.234
3.331 3.670 7.627
3.428 2.000 2.421
6.306 3.908 1.599
6.586 4.889 4.714
5.498 1.587 1.089


(3)
ZrCrF6 | Alexandria | GGA-PBEsol | relaxed; magnetic moment = 4.0 μB/cell; density of states at the Fermi level = 4.33 states/eV per cell; SG = Fm-3m (225); total DFT energy (no corrections) = -55.917 eV per formula unit; theoretical density = 3.17 g cm⁻³
1.0
0.000 4.071 4.071
4.071 0.000 4.071
4.071 4.071 0.000
Zr Cr F
1 1 6
Cartesian
0.000 0.000 0.000
4.071 4.071 4.071
4.071 4.071 2.013
4.071 2.013 4.071
6.128 4.071 4.071
2.013 4.071 4.071
4.071 6.128 4.071
4.071 4.071 6.128


(4)
CrFe | Alexandria | GGA-PBEsol | relaxed; magnetic moment = 3.9 μB/cell; density of states at the Fermi level = 3.48 states/eV per cell; energy relative to the elements = 0.044 eV per atom; SG = Cmme (67); theoretical density = 8.22 g cm⁻³
1.0
1.419 -1.949 0.000
1.419 1.949 0.000
0.000 0.000 7.875
Cr Fe
2 2
Cartesian
1.419 0.974 6.886
1.419 -0.974 0.988
1.419 0.974 2.954
1.419 -0.974 4.921


(5)
CrFe5 | Alexandria | GGA-PBEsol | relaxed; magnetic moment = 0.0 μB/cell; density of states at the Fermi level = 7.65 states/eV per cell; energy relative to the elements = 0.019 eV per atom; SG = Amm2 (38); theoretical density = 9.17 g cm⁻³
1.0
3.868 0.000 0.000
0.000 1.221 6.349
0.000 -1.221 6.349
Cr Fe
1 5
Cartesian
0.000 0.000 0.000
0.000 0.000 4.184
0.000 0.000 8.474
1.934 0.000 1.406
1.934 0.000 5.617
1.934 0.000 9.874


(6)
CrFe2 | Alexandria | GGA-PBEsol | relaxed; magnetic moment = 3.6 μB/cell; density of states at the Fermi level = 2.96 states/eV per cell; energy relative to the elements = 0.060 eV per atom; SG = P-3m1 (164); theoretical density = 8.40 g cm⁻³
1.0
3.950 0.000 0.000
-1.975 3.421 0.000
0.000 0.000 2.394
Cr Fe
1 2
Cartesian
0.000 0.000 0.000
0.000 2.281 0.791
1.975 1.140 1.603


(7)
CrFe5 | Alexandria | GGA-PBEsol | relaxed; magnetic moment = 0.0 μB/cell; density of states at the Fermi level = 7.20 states/eV per cell; energy relative to the elements = 0.013 eV per atom; SG = Cm (8); theoretical density = 9.18 g cm⁻³
1.0
4.412 -1.218 0.000
4.412 1.218 0.000
-1.370 0.000 5.577
Cr Fe
1 5
Cartesian
0.000 0.000 0.000
-0.354 0.000 3.413
2.007 0.000 3.719
3.023 0.000 1.577
5.431 0.000 1.883
5.101 0.000 5.279


(8)
CrFe | Alexandria | GGA-PBEsol | relaxed; magnetic moment = 0.0 μB/cell; density of states at the Fermi level = 4.34 states/eV per cell; energy relative to the elements = 0.154 eV per atom; SG = P-3m1 (164); theoretical density = 8.51 g cm⁻³
1.0
2.457 0.000 0.000
-1.229 2.128 0.000
0.000 0.000 8.053
Cr Fe
2 2
Cartesian
0.000 1.419 2.929
1.229 0.709 5.124
0.000 1.419 7.081
1.229 0.709 0.972


(9)
CrFe | Alexandria | GGA-PBEsol | relaxed; magnetic moment = 1.7 μB/cell; density of states at the Fermi level = 2.07 states/eV per cell; energy relative to the elements = 0.088 eV per atom; SG = Cmmm (65); theoretical density = 8.28 g cm⁻³
1.0
1.431 -1.918 0.000
1.431 1.918 0.000
0.000 0.000 3.938
Cr Fe
1 1
Cartesian
0.000 0.000 0.000
1.431 0.000 1.969


(10)
CrFe | Alexandria | GGA-PBEsol | relaxed; magnetic moment = 0.0 μB/cell; density of states at the Fermi level = 2.47 states/eV per cell; energy relative to the elements = 0.131 eV per atom; SG = P-6m2 (187); theoretical density = 8.55 g cm⁻³
1.0
2.463 0.000 0.000
-1.232 2.133 0.000
0.000 0.000 3.985
Cr Fe
1 1
Cartesian
0.000 0.000 0.000
1.232 0.711 1.992


(11)
CrFe | Alexandria | GGA-PBEsol | relaxed; magnetic moment = 0.5 μB/cell; density of states at the Fermi level = 5.48 states/eV per cell; energy relative to the elements = 0.138 eV per atom; SG = I4_1/amd (141); theoretical density = 8.50 g cm⁻³
1.0
-1.725 1.725 3.539
1.725 -1.725 3.539
1.725 1.725 -3.539
Cr Fe
2 2
Cartesian
1.725 0.862 0.885
0.000 0.862 2.654
1.725 -0.862 2.654
0.000 2.587 0.885


(12)
CrFe | Alexandria | GGA-PBEsol | relaxed; magnetic moment = 3.3 μB/cell; density of states at the Fermi level = 5.54 states/eV per cell; energy relative to the elements = 0.145 eV per atom; SG = Imma (74); theoretical density = 8.25 g cm⁻³
1.0
-1.408 1.985 3.884
1.408 -1.985 3.884
1.408 1.985 -3.884
Cr Fe
2 2
Cartesian
0.000 0.992 1.033
1.408 0.992 2.851
1.408 0.992 -0.934
0.000 0.992 4.818


(13)
Cr4Fe5 | Alexandria | GGA-PBEsol | relaxed; magnetic moment = 9.4 μB/cell; density of states at the Fermi level = 7.65 states/eV per cell; energy relative to the elements = 0.069 eV per atom; SG = I4/mmm (139); theoretical density = 8.29 g cm⁻³
1.0
-4.149 4.149 1.418
4.149 -4.149 1.418
4.149 4.149 -1.418
Cr Fe
4 5
Cartesian
2.787 0.000 0.000
5.511 0.000 0.000
0.000 2.787 0.000
0.000 5.511 0.000
0.000 0.000 0.000
2.772 2.772 0.000
1.377 -1.377 1.418
-1.377 1.377 1.418
1.377 1.377 1.418


(14)
CrFe4 | Alexandria | GGA-PBEsol | relaxed; magnetic moment = 8.2 μB/cell; density of states at the Fermi level = 4.30 states/eV per cell; energy relative to the elements = 0.044 eV per atom; SG = Fmmm (69); theoretical density = 8.46 g cm⁻³
1.0
0.000 1.951 9.869
1.404 0.000 9.869
1.404 1.951 0.000
Cr Fe
1 4
Cartesian
0.000 0.000 0.000
1.404 1.951 3.940
1.404 1.951 7.905
1.404 1.951 11.833
1.404 1.951 15.798


(15)
CrFe | Alexandria | GGA-PBEsol | relaxed; magnetic moment = 3.6 μB/cell; density of states at the Fermi level = 3.23 states/eV per cell; energy relative to the elements = 0.088 eV per atom; SG = Fd-3m (227); theoretical density = 8.29 g cm⁻³
1.0
0.000 2.785 2.785
2.785 0.000 2.785
2.785 2.785 0.000
Cr Fe
2 2
Cartesian
0.696 0.696 0.696
4.873 4.873 4.873
2.088 2.088 2.088
3.481 3.481 3.481


(16)
KCr2FeGe | Alexandria | GGA-PBEsol | relaxed; magnetic moment = 9.8 μB/cell; density of states at the Fermi level = 5.48 states/eV per cell; energy relative to the elements = 2.519 eV per atom; SG = P4/mmm (123); theoretical density = 4.90 g cm⁻³
1.0
4.624 0.000 0.000
0.000 4.624 0.000
0.000 0.000 4.307
K Cr Fe Ge
1 2 1 1
Cartesian
0.000 0.000 0.000
0.000 2.312 0.000
2.312 0.000 0.000
0.000 0.000 2.153
2.312 2.312 2.153


(17)
CrFeGe2N | Alexandria | GGA-PBEsol | relaxed; magnetic moment = 3.7 μB/cell; density of states at the Fermi level = 4.46 states/eV per cell; SG = P4/mmm (123); total DFT energy (no corrections) = -34.100 eV per formula unit; theoretical density = 5.73 g cm⁻³
1.0
4.711 0.000 0.000
0.000 4.711 0.000
0.000 0.000 3.487
Cr Fe Ge N
1 1 2 1
Cartesian
0.000 0.000 0.000
2.356 2.356 1.744
0.000 2.356 0.000
2.356 0.000 0.000
0.000 0.000 1.744


(18)
CrFe3H | Alexandria | GGA-PBEsol | relaxed; magnetic moment = 0.9 μB/cell; density of states at the Fermi level = 4.30 states/eV per cell; SG = Pm-3m (221); total DFT energy (no corrections) = -40.473 eV per formula unit; theoretical density = 8.53 g cm⁻³
1.0
3.501 0.000 0.000
0.000 3.501 0.000
0.000 0.000 3.501
Cr Fe H
1 3 1
Cartesian
0.000 0.000 0.000
0.000 1.750 1.750
1.750 0.000 1.750
1.750 1.750 0.000
1.750 1.750 1.750


(19)
Hf2CrFeH | Alexandria | GGA-PBEsol | relaxed; magnetic moment = 1.4 μB/cell; density of states at the Fermi level = 5.29 states/eV per cell; SG = P4/mmm (123); total DFT energy (no corrections) = -44.199 eV per formula unit; theoretical density = 12.10 g cm⁻³
1.0
4.438 0.000 0.000
0.000 4.438 0.000
0.000 0.000 3.246
Hf Cr Fe H
2 1 1 1
Cartesian
0.000 2.219 0.000
2.219 0.000 0.000
0.000 0.000 1.623
2.219 2.219 1.623
2.219 2.219 0.000


(20)
CrFeHg2 | Alexandria | GGA-PBEsol | relaxed; magnetic moment = 6.0 μB/cell; density of states at the Fermi level = 3.27 states/eV per cell; energy relative to the elements = 0.513 eV per atom; energy relative to the lowest polymorph listed for this composition = 4 meV/atom; SG = Pmmm (47); theoretical density = 12.86 g cm⁻³
1.0
2.994 0.000 0.000
0.000 3.716 0.000
0.000 0.000 5.908
Cr Fe Hg
1 1 2
Cartesian
0.000 0.000 0.000
0.000 0.000 2.954
1.497 1.858 1.507
1.497 1.858 4.402


(21)
CrFeHg | Alexandria | GGA-PBEsol | relaxed; magnetic moment = 1.3 μB/cell; density of states at the Fermi level = 4.60 states/eV per cell; energy relative to the elements = 0.819 eV per atom; SG = F-43m (216); theoretical density = 9.92 g cm⁻³
1.0
0.000 2.956 2.956
2.956 0.000 2.956
2.956 2.956 0.000
Cr Fe Hg
1 1 1
Cartesian
0.000 0.000 0.000
1.478 1.478 1.478
2.956 2.956 2.956


(22)
CrFe2Hg | Alexandria | GGA-PBEsol | relaxed; magnetic moment = 2.0 μB/cell; density of states at the Fermi level = 5.15 states/eV per cell; energy relative to the elements = 0.342 eV per atom; SG = P4/mmm (123); theoretical density = 11.68 g cm⁻³
1.0
2.816 0.000 0.000
0.000 2.816 0.000
0.000 0.000 6.531
Cr Fe Hg
1 2 1
Cartesian
0.000 0.000 0.000
1.408 1.408 1.289
1.408 1.408 5.241
0.000 0.000 3.265


(23)
CrFeHg2 | Alexandria | GGA-PBEsol | relaxed; magnetic moment = 4.0 μB/cell; density of states at the Fermi level = 3.91 states/eV per cell; energy relative to the elements = 0.554 eV per atom; energy relative to the lowest polymorph listed for this composition = 45 meV/atom; SG = Cm (8); theoretical density = 13.26 g cm⁻³
1.0
5.000 -1.446 0.000
5.000 1.446 0.000
-1.633 0.000 4.408
Cr Fe Hg
1 1 2
Cartesian
0.000 0.000 0.000
1.872 0.000 3.287
4.606 0.000 2.391
7.307 0.000 0.923


(24)
CrFe2Hg | Alexandria | GGA-PBEsol | relaxed; magnetic moment = 1.5 μB/cell; density of states at the Fermi level = 4.77 states/eV per cell; energy relative to the elements = 0.426 eV per atom; SG = I4/mmm (139); theoretical density = 11.29 g cm⁻³
1.0
-1.865 1.865 3.852
1.865 -1.865 3.852
1.865 1.865 -3.852
Cr Fe Hg
1 2 1
Cartesian
0.000 0.000 0.000
1.865 0.000 1.926
0.000 1.865 1.926
0.000 0.000 3.852


(25)
CrFeHg2 | Alexandria | GGA-PBEsol | relaxed; magnetic moment = 5.8 μB/cell; density of states at the Fermi level = 4.43 states/eV per cell; energy relative to the elements = 0.530 eV per atom; energy relative to the lowest polymorph listed for this composition = 21 meV/atom; SG = I4/mmm (139); theoretical density = 12.92 g cm⁻³
1.0
-2.098 2.098 3.718
2.098 -2.098 3.718
2.098 2.098 -3.718
Cr Fe Hg
1 1 2
Cartesian
0.000 0.000 0.000
0.000 0.000 3.718
2.098 0.000 1.859
0.000 2.098 1.859


(26)
CrFe2Hg | Alexandria | GGA-PBEsol | relaxed; magnetic moment = 3.9 μB/cell; density of states at the Fermi level = 3.68 states/eV per cell; energy relative to the elements = 0.358 eV per atom; SG = P4mm (99); theoretical density = 11.38 g cm⁻³
1.0
2.807 0.000 0.000
0.000 2.807 0.000
0.000 0.000 6.746
Cr Fe Hg
1 2 1
Cartesian
0.000 0.000 0.000
0.000 0.000 2.720
1.404 1.404 1.230
1.404 1.404 4.697


(27)
CrFeHg2 | Alexandria | GGA-PBEsol | relaxed; magnetic moment = 6.2 μB/cell; density of states at the Fermi level = 2.90 states/eV per cell; energy relative to the elements = 0.509 eV per atom; energy relative to the lowest polymorph listed for this composition = 0 meV/atom; SG = P4/mmm (123); theoretical density = 12.80 g cm⁻³
1.0
2.987 0.000 0.000
0.000 2.987 0.000
0.000 0.000 7.398
Cr Fe Hg
1 1 2
Cartesian
0.000 0.000 0.000
0.000 0.000 3.699
1.494 1.494 1.896
1.494 1.494 5.501


(28)
CrFeHg3 | Alexandria | GGA-PBEsol | relaxed; magnetic moment = 7.7 μB/cell; density of states at the Fermi level = 6.85 states/eV per cell; energy relative to the elements = 1.244 eV per atom; SG = Pm-3m (221); theoretical density = 9.10 g cm⁻³
1.0
5.059 0.000 0.000
0.000 5.059 0.000
0.000 0.000 5.059
Cr Fe Hg
1 1 3
Cartesian
0.000 0.000 0.000
2.529 2.529 2.529
0.000 0.000 2.529
0.000 2.529 0.000
2.529 0.000 0.000


(29)
CrFeI3 | Alexandria | GGA-PBEsol | relaxed; magnetic moment = 8.3 μB/cell; density of states at the Fermi level = 11.86 states/eV per cell; energy relative to the lowest polymorph listed for this composition = 0 meV/atom; SG = Pm-3m (221); theoretical density = 5.32 g cm⁻³
1.0
5.343 0.000 0.000
0.000 5.343 0.000
0.000 0.000 5.343
Cr Fe I
1 1 3
Cartesian
0.000 0.000 0.000
2.672 2.672 2.672
0.000 2.672 2.672
2.672 0.000 2.672
2.672 2.672 0.000